1.
MgCu2Te: relaxed, GGA-PBE.

Results
The polymorph energy (0 for the lowest one) comes out at 216 meV per atom. For the uncorrected energy, the calculation gives -3.07 eV per atom. For the energy relative to the elements, uncorrected, the calculation gives 163 meV per atom. The value obtained for the density is 6.3 Mg/m³. For the total moment, the calculation gives 0.000 μB/f.u.

Unit cell a=4.710 b=4.710 c=4.710 alpha=60.00 beta=60.00 gamma=60.00
Element x y z (fractional)
Mg1 0.500 0.500 0.500
Cu1 0.250 0.250 0.250
Cu2 0.000 0.000 0.000
Te1 0.750 0.750 0.750


2.
NdYPd: relaxed, GGA-PBE.

Results
The value obtained for the formation energy is -0.41 eV per atom. The polymorph energy (0 for the lowest one) comes out at 143 meV per atom. For the uncorrected energy, the calculation gives -5.89 eV per atom. The value obtained for the density is 6.5 Mg/m³. For the total moment, the calculation gives 0.000 μB/f.u.

Unit cell a=4.979 b=4.979 c=4.979 alpha=60.00 beta=60.00 gamma=60.00
Element x y z (fractional)
Pd1 0.250 0.250 0.250
Nd1 0.000 0.000 0.000
Y1 0.500 0.500 0.500


3.
Sr2ZnSbP: relaxed, GGA-PBE.

Results
For the uncorrected energy, the calculation gives -3.72 eV per atom. For the energy relative to the elements, uncorrected, the calculation gives -888 meV per atom. The value obtained for the density is 4.3 Mg/m³. For the total moment, the calculation gives 0.000 μB/f.u.

Unit cell a=4.454 b=7.642 c=9.409 alpha=107.02 beta=90.00 gamma=90.00
Element x y z (fractional)
Sr1 0.750 0.777 0.030
Sr2 0.250 0.189 0.394
Sr3 0.750 0.811 0.606
Sr4 0.250 0.223 0.970
Zn1 0.250 0.513 0.738
Zn2 0.750 0.487 0.262
P1 0.250 0.825 0.823
P2 0.750 0.175 0.177
Sb1 0.750 0.307 0.698
Sb2 0.250 0.693 0.302


4.
Tb4Er4Tm3: relaxed, GGA-PBE.

Results
The value obtained for the formation energy is 0.19 eV per atom. The polymorph energy (0 for the lowest one) comes out at 124 meV per atom. For the uncorrected energy, the calculation gives -4.37 eV per atom. The value obtained for the density is 8.6 Mg/m³. For the total moment, the calculation gives 0.000 μB/f.u.

Unit cell a=3.523 b=11.033 c=10.688 alpha=121.07 beta=99.27 gamma=90.00
Element x y z (fractional)
Tm1 0.110 0.109 0.218
Tm2 0.890 0.891 0.782
Tm3 0.000 0.500 0.000
Tb1 0.500 0.796 0.000
Tb2 0.500 0.204 0.000
Tb3 0.777 0.278 0.557
Tb4 0.223 0.722 0.443
Er1 0.328 0.090 0.660
Er2 0.672 0.430 0.340
Er3 0.672 0.910 0.340
Er4 0.328 0.570 0.660


> Number 4 is which compound?

Tb4Er4Tm3


> The lowest uncorrected energy belongs to which entry?

NdYPd


> uncorrected energy of number 3 (Sr2ZnSbP)?

-3.72 eV per atom